# MgFe2Rh, relaxed, DFT PBE-GGA
data_MgFe2Rh
_space_group_name_H-M_alt 'C m m m'
_space_group_IT_number 65
_space_group_name_Hall '-C 2 2'
_cell_length_a 5.190
_cell_length_b 7.849
_cell_length_c 2.700
_cell_angle_alpha 90.00
_cell_angle_beta 90.00
_cell_angle_gamma 90.00
loop_
_atom_site_label
_atom_site_type_symbol
_atom_site_fract_x
_atom_site_fract_y
_atom_site_fract_z
Mg1 Mg 0.000 0.000 0.000
Fe1 Fe 0.250 0.250 0.500
Rh1 Rh 0.000 0.500 0.000
# total DFT energy (no corrections): -51.24 eV per cell
# theoretical density: 7213 kg/m3
# total magnetic moment: 10.81 μB/cell
# formation energy: 0.0633 eV per atom